1.
The following is a PBE calculation of a geometry-optimized YRh structure, from Alexandria via LeMat-Bulk. Values from VASP.

density of states at the Fermi level	0.728	states/eV/atom
total energy	-55.8	eV for the cell shown
energy relative to the elements	-0.07	eV per atom

The structure in Quantum ESPRESSO input format:
```
&SYSTEM
  ibrav = 0, nat = 8, ntyp = 2
/
ATOMIC_SPECIES
Y 88.91 Y.upf
Rh 102.91 Rh.upf
ATOMIC_POSITIONS crystal
Y 0.0000 0.0000 0.2500
Y 0.0000 0.0000 0.7500
Y 0.3333 0.6667 0.2500
Y 0.6667 0.3333 0.7500
Rh 0.3333 0.6667 0.5860
Rh 0.3333 0.6667 0.9140
Rh 0.6667 0.3333 0.0860
Rh 0.6667 0.3333 0.4140
CELL_PARAMETERS angstrom
4.9788 0.0000 0.0000
-2.4894 4.3117 0.0000
0.0000 0.0000 7.8390
```

---

2.
The following is a PBE calculation of a geometry-optimized Y5Rh structure, from Alexandria via LeMat-Bulk. Values from VASP.

density of states at the Fermi level	1.415	states/eV/atom
total energy	-35.3	eV for the cell shown
energy relative to the elements	0.73	eV per atom

The structure in Quantum ESPRESSO input format:
```
&SYSTEM
  ibrav = 0, nat = 6, ntyp = 2
/
ATOMIC_SPECIES
Y 88.91 Y.upf
Rh 102.91 Rh.upf
ATOMIC_POSITIONS crystal
Y 0.0000 0.5000 0.0000
Y 0.3333 0.6667 0.5000
Y 0.5000 0.0000 0.0000
Y 0.5000 0.5000 0.0000
Y 0.6667 0.3333 0.5000
Rh 0.0000 0.0000 0.5000
CELL_PARAMETERS angstrom
6.0597 0.0000 0.0000
-3.0298 5.2478 0.0000
0.0000 0.0000 5.9267
```

---

3.
The following is a PBE calculation of a geometry-optimized YRh5 structure, from Alexandria via LeMat-Bulk. Values from VASP.

density of states at the Fermi level	1.554	states/eV/atom
total energy	-43.3	eV for the cell shown
energy relative to the elements	-0.01	eV per atom

The structure in Quantum ESPRESSO input format:
```
&SYSTEM
  ibrav = 0, nat = 6, ntyp = 2
/
ATOMIC_SPECIES
Y 88.91 Y.upf
Rh 102.91 Rh.upf
ATOMIC_POSITIONS crystal
Y 0.0000 0.0000 0.0000
Rh 0.0000 0.0000 0.3424
Rh 0.0000 0.0000 0.6576
Rh 0.5000 0.5000 0.1866
Rh 0.5000 0.5000 0.5000
Rh 0.5000 0.5000 0.8134
CELL_PARAMETERS angstrom
2.8634 0.0000 0.0000
0.0000 2.8634 0.0000
0.0000 0.0000 11.6183
```

---

4.
The following is a PBE calculation of a geometry-optimized Y2Rh3 structure, from Alexandria via LeMat-Bulk. Values from VASP.

density of states at the Fermi level	0.665	states/eV/atom
total energy	-36.7	eV for the cell shown
energy relative to the elements	-0.34	eV per atom

The structure in Quantum ESPRESSO input format:
```
&SYSTEM
  ibrav = 0, nat = 5, ntyp = 2
/
ATOMIC_SPECIES
Y 88.91 Y.upf
Rh 102.91 Rh.upf
ATOMIC_POSITIONS crystal
Y 0.3333 0.6667 0.2914
Y 0.6667 0.3333 0.7086
Rh 0.0000 0.0000 0.5000
Rh 0.3333 0.6667 0.8060
Rh 0.6667 0.3333 0.1940
CELL_PARAMETERS angstrom
4.6216 0.0000 0.0000
-2.3108 4.0025 0.0000
0.0000 0.0000 5.7024
```

---

5.
The following is a PBE calculation of a geometry-optimized YRh2 structure, from Alexandria via LeMat-Bulk. Values from VASP.

density of states at the Fermi level	1.710	states/eV/atom
total energy	-21.0	eV for the cell shown
energy relative to the elements	0.06	eV per atom

The structure in Quantum ESPRESSO input format:
```
&SYSTEM
  ibrav = 0, nat = 3, ntyp = 2
/
ATOMIC_SPECIES
Y 88.91 Y.upf
Rh 102.91 Rh.upf
ATOMIC_POSITIONS crystal
Y 0.0000 0.0000 0.0000
Rh 0.3333 0.6667 0.6652
Rh 0.6667 0.3333 0.3348
CELL_PARAMETERS angstrom
3.2704 0.0000 0.0000
-1.6352 2.8323 0.0000
0.0000 0.0000 6.1440
```

---

6.
The following is a PBE calculation of a geometry-optimized YRh2 structure, from Alexandria via LeMat-Bulk. Values from VASP.

density of states at the Fermi level	1.331	states/eV/atom
total energy	-45.4	eV for the cell shown
energy relative to the elements	-0.51	eV per atom

The structure in Quantum ESPRESSO input format:
```
&SYSTEM
  ibrav = 0, nat = 6, ntyp = 2
/
ATOMIC_SPECIES
Y 88.91 Y.upf
Rh 102.91 Rh.upf
ATOMIC_POSITIONS crystal
Y 0.2500 0.2500 0.0000
Y 0.7500 0.7500 0.0000
Rh 0.1774 0.6774 0.8549
Rh 0.3226 0.1774 0.5000
Rh 0.6774 0.8226 0.5000
Rh 0.8226 0.3226 0.1451
CELL_PARAMETERS angstrom
-2.6057 2.6057 4.3621
2.6057 -2.6057 4.3621
2.6057 2.6057 -4.3621
```